A plane-wave DFT calculation with PBE was carried out for a geometry-optimized Nd2Zn7Au12 structure.

The space group is P-6 (No. 174) and the conventional cell measures 10.3304, 10.3304 and 4.3133 Å, with angles of 90.00, 90.00 and 120.00 degrees. Symmetry generates all atoms from Nd at (0.0000, 0.0000, 0.0000), Nd at (0.3333, 0.6667, 0.5000), Zn at (0.0288, 0.4788, 0.0000), Zn at (0.2702, 0.2660, 0.5000), Zn at (0.6667, 0.3333, 0.0000), Au at (0.0122, 0.2507, 0.5000), Au at (0.1708, 0.7705, 0.0000), Au at (0.3717, 0.1984, 0.0000) and Au at (0.5675, 0.1362, 0.5000).

The calculation puts the total energy at -0.1144 Ha/atom. As for the total magnetic moment: 0.0 μB per cell. The calculation puts the density of states at the Fermi level at 0.381 states/eV/atom.

A plane-wave DFT calculation with PBE was carried out for a geometry-optimized TmZn2Ni3 structure.

The space group is Cmcm (No. 63) and the conventional cell measures 9.383, 7.426 and 5.144 Å, with angles of 90.00, 90.00 and 90.00 degrees. Symmetry generates all atoms from Tm at (0.000, 0.166, 0.250), Zn at (0.221, 0.500, 0.000), Ni at (0.000, 0.477, 0.750) and Ni at (0.134, 0.209, 0.750).

The calculation puts the total energy at -0.1596 Ha/atom. As for the total magnetic moment: 0.0 μB per cell. The calculation puts the density of states at the Fermi level at 0.612 states/eV/atom.

A plane-wave DFT calculation with PBE was carried out for a geometry-optimized Pm3Sm2Si4 structure.

The space group is P2_1/c (No. 14) and the conventional cell measures 7.794, 7.854 and 7.728 Å, with angles of 90.00, 105.01 and 90.00 degrees. Symmetry generates all atoms from Pm at (0.000, 0.000, 0.000), Pm at (0.261, 0.183, 0.745), Sm at (0.293, 0.686, 0.899), Si at (0.007, 0.616, 0.117) and Si at (0.415, 0.024, 0.110).

For the excess energy over the best structure of this formula in the dataset, the calculation gives 0.0000 eV per atom. The calculation puts the total energy at -0.2108 Ha/atom. As for the total magnetic moment: 0.0 μB per cell. The calculation puts the density of states at the Fermi level at 1.052 states/eV/atom.

Q: Look up the total magnetic moment of the third one.
A: 0.0 μB per cell

Repeat the first record exactly.
A plane-wave DFT calculation with PBE was carried out for a geometry-optimized Nd2Zn7Au12 structure.

The space group is P-6 (No. 174) and the conventional cell measures 10.3304, 10.3304 and 4.3133 Å, with angles of 90.00, 90.00 and 120.00 degrees. Symmetry generates all atoms from Nd at (0.0000, 0.0000, 0.0000), Nd at (0.3333, 0.6667, 0.5000), Zn at (0.0288, 0.4788, 0.0000), Zn at (0.2702, 0.2660, 0.5000), Zn at (0.6667, 0.3333, 0.0000), Au at (0.0122, 0.2507, 0.5000), Au at (0.1708, 0.7705, 0.0000), Au at (0.3717, 0.1984, 0.0000) and Au at (0.5675, 0.1362, 0.5000).

The calculation puts the total energy at -0.1144 Ha/atom. As for the total magnetic moment: 0.0 μB per cell. The calculation puts the density of states at the Fermi level at 0.381 states/eV/atom.